#w
! Cu2NiO2 PBE with a Hubbard U relaxed; values from VASP
! magnetization	1.53	μB/cell
&SYSTEM
  ibrav = 0, nat = 10, ntyp = 3
/
ATOMIC_SPECIES
Cu 63.55 Cu.upf
Ni 58.69 Ni.upf
O 16.00 O.upf
ATOMIC_POSITIONS angstrom
Cu 0.937 1.793 0.000
Cu 1.793 4.522 0.000
Cu 3.666 0.937 0.000
Cu 4.522 3.666 0.000
Ni 0.000 0.000 1.838
Ni 2.729 2.729 1.838
O 1.055 1.674 1.838
O 1.674 4.404 1.838
O 3.785 1.055 1.838
O 4.404 3.785 1.838
CELL_PARAMETERS angstrom
5.459 0.000 0.000
0.000 5.459 0.000
0.000 0.000 3.676


#x
! Cu2NiO2 PBE with a Hubbard U relaxed; values from VASP
! magnetization	3.99	μB/cell
&SYSTEM
  ibrav = 0, nat = 10, ntyp = 3
/
ATOMIC_SPECIES
Cu 63.55 Cu.upf
Ni 58.69 Ni.upf
O 16.00 O.upf
ATOMIC_POSITIONS angstrom
Cu 0.000 0.000 0.000
Cu -1.771 0.000 2.028
Cu 1.918 2.082 0.000
Cu 0.146 -2.082 2.028
Ni 1.178 0.562 3.042
Ni 2.950 -0.562 1.014
O 1.356 0.681 1.088
O -0.416 -0.681 3.116
O 4.543 0.681 0.940
O 2.772 -0.681 2.968
CELL_PARAMETERS angstrom
3.835 -4.163 0.000
3.835 4.163 0.000
-3.543 0.000 4.056


It is #w that is the least stable of them.


#w
! Cu2NiTeO6 PBE with a Hubbard U relaxed; values from VASP
! magnetization	12.14	μB/cell
&SYSTEM
  ibrav = 0, nat = 40, ntyp = 4
/
ATOMIC_SPECIES
Cu 63.55 Cu.upf
Ni 58.69 Ni.upf
Te 127.60 Te.upf
O 16.00 O.upf
ATOMIC_POSITIONS angstrom
Cu 7.209 0.281 0.000
Cu 4.806 2.416 -0.258
Cu 0.277 0.000 2.425
Cu 0.000 2.416 0.258
Cu 2.403 4.550 0.000
Cu 4.806 2.416 4.554
Cu -0.277 4.831 2.425
Cu 0.000 2.416 5.147
Ni 5.194 0.000 2.425
Ni 2.403 0.410 4.851
Ni 4.417 4.831 2.425
Ni -2.403 4.421 4.851
Te 7.185 2.432 -2.434
Te 2.379 2.399 2.434
Te -2.379 2.432 2.434
Te -2.379 7.230 2.416
O 6.514 -1.017 1.266
O 3.765 -1.227 1.603
O 3.623 -3.221 3.787
O 3.820 3.568 -1.608
O 1.183 3.221 -1.063
O 1.672 1.002 1.275
O 1.672 -1.002 3.576
O 5.989 1.610 1.063
O -0.986 1.263 1.608
O 3.623 3.221 1.063
O 3.765 1.227 3.248
O 1.709 5.848 -1.266
O 3.134 -1.002 6.125
O 0.986 3.568 1.608
O 1.203 1.680 3.813
O 5.846 3.604 3.248
O -1.203 3.151 3.813
O 3.097 5.848 1.266
O 3.097 3.814 3.585
O 3.603 1.680 5.888
O 1.040 1.227 6.453
O 1.203 7.982 1.038
O 0.986 6.095 3.243
O -1.672 5.833 3.576
CELL_PARAMETERS angstrom
-4.806 4.831 4.851
4.806 -4.831 4.851
4.806 4.831 -4.851


#x
! Cu2NiTeO6 PBE with a Hubbard U relaxed; values from VASP
! magnetization	3.08	μB/cell
&SYSTEM
  ibrav = 0, nat = 20, ntyp = 4
/
ATOMIC_SPECIES
Cu 63.55 Cu.upf
Ni 58.69 Ni.upf
Te 127.60 Te.upf
O 16.00 O.upf
ATOMIC_POSITIONS angstrom
Cu 2.249 0.773 0.969
Cu 1.750 -0.773 3.672
Cu 7.327 0.773 1.733
Cu 6.828 -0.773 4.435
Ni 4.289 1.295 4.054
Ni 4.788 -1.295 1.351
Te 4.788 2.463 1.351
Te 4.289 -2.463 4.054
O 0.367 0.169 4.756
O 0.867 -0.169 2.053
O 3.308 1.657 2.400
O 2.826 1.450 5.298
O 6.268 1.657 0.302
O 5.751 1.450 2.810
O 3.326 -1.450 2.595
O 2.809 -1.657 5.103
O 6.251 -1.450 0.107
O 5.769 -1.657 3.004
O 8.210 0.169 3.351
O 8.710 -0.169 0.649
CELL_PARAMETERS angstrom
5.038 -4.154 0.000
5.038 4.154 0.000
-0.999 0.000 5.405


It is #x that is the least stable of them.


#w
! TiCu2NiO4 PBE with a Hubbard U relaxed; values from VASP
! magnetization	1.97	μB/cell
&SYSTEM
  ibrav = 0, nat = 8, ntyp = 4
/
ATOMIC_SPECIES
Ti 47.87 Ti.upf
Cu 63.55 Cu.upf
Ni 58.69 Ni.upf
O 16.00 O.upf
ATOMIC_POSITIONS angstrom
Ti 0.000 0.000 0.000
Cu -0.951 0.000 2.653
Cu 1.708 1.475 2.653
Ni 2.658 1.475 0.000
O -1.048 1.475 4.225
O 1.647 0.000 1.108
O 1.768 0.000 4.197
O 4.464 1.475 1.081
CELL_PARAMETERS angstrom
5.316 0.000 0.000
0.000 2.950 0.000
-1.901 0.000 5.305


#x
! TiCu2NiO4 PBE with a Hubbard U relaxed; values from VASP
! magnetization	1.99	μB/cell
&SYSTEM
  ibrav = 0, nat = 8, ntyp = 4
/
ATOMIC_SPECIES
Ti 47.87 Ti.upf
Cu 63.55 Cu.upf
Ni 58.69 Ni.upf
O 16.00 O.upf
ATOMIC_POSITIONS angstrom
Ti 0.000 0.000 0.000
Cu 0.000 0.000 8.607
Cu 0.000 0.000 26.038
Ni 0.000 0.000 17.322
O 0.000 0.000 6.811
O 0.000 0.000 10.496
O 0.000 0.000 24.148
O 0.000 0.000 27.834
CELL_PARAMETERS angstrom
1.508 0.871 11.548
-1.508 0.871 11.548
0.000 -1.741 11.548


It is #w that is the least stable of them.